No. 1
This record from the Alexandria database describes Na2Ca2Tl7 after structural relaxation. The functional is PBE.

The density of states at the Fermi level comes out at 0.52 states/eV/atom. The calculation puts the energy of formation from the pure elements at -0.02 eV per atom. Its electronic total energy is -46.76 eV/cell.

Cell: 7.007 11.656 8.616 Å, 90.00 90.00 90.00°
Space group Cmmm (No. 65)
Inequivalent atoms, fractional coordinates:
Na 0.000 0.235 0.000 [4 per cell]
Ca 0.248 0.500 0.500 [4 per cell]
Tl 0.000 0.000 0.182 [4 per cell]
Tl 0.000 0.500 0.000 [2 per cell]
Tl 0.250 0.250 0.312 [8 per cell]

No. 2
This record from the Alexandria database describes Pm2Dy15Mg2 after structural relaxation. The functional is PBE.

The density of states at the Fermi level comes out at 1.15 states/eV/atom. The calculation puts the energy of formation from the pure elements at 0.22 eV per atom. Its electronic total energy is -232.73 eV/cell.

Cell: 11.2006 11.2006 17.0385 Å, 90.00 90.00 120.00°
Space group R-3m (No. 166, hexagonal axes)
Inequivalent atoms, fractional coordinates:
Pm 0.0000 0.0000 0.1738 [6 per cell]
Dy 0.0000 0.2956 0.5000 [18 per cell]
Dy 0.0000 0.5000 0.0000 [9 per cell]
Dy 0.0068 0.5034 0.6420 [18 per cell]
Mg 0.0000 0.0000 0.4068 [6 per cell]

- Look up the energy of formation from the pure elements of the second one.
  0.22 eV per atom